# AlZn2Pb

An optimized crystal structure of AlZn2Pb (GGA-PBE, the Alexandria database).

Formation energy from the elements, eV/f.u.: 0.62
Uncorrected energy, eV/atom: -2.346
Space group: No. 123
Offset from the most stable computed form, meV/atom: 13

Cell lengths 3.379, 3.379, 7.162 Å; angles 90.00, 90.00, 90.01 degrees
Fractional positions:
Al (0.500, 0.500, 0.250)
Pb (0.500, 0.500, 0.750)
Zn (0.000, 0.000, 0.447)
Zn (0.000, 0.000, 0.053)